No. 1
First-principles (PBE) data for a relaxed structure of YCd2, as listed in the Alexandria database.

a = 4.9764 Å, b = 4.9764 Å, c = 3.4495 Å
α = 90.00°, β = 90.00°, γ = 120.00°
Last column: nearest neighbours and their distance in Å.
Space group P6/mmm (No. 191)
One atom of each set of equivalent atoms:
Y1 0.0000 0.0000 0.0000 (multiplicity 1)  12 Cd 3.35, 2 Y 3.45
Cd1 0.3333 0.6667 0.5000 (multiplicity 2)  3 Cd 2.87

Properties
Its density of states at the Fermi level is 2.30 states/eV/f.u. The value obtained for the density is 7.042 g/cm³. The formation energy is -0.339 eV per atom. The value obtained for the final energy is -3.10 eV/atom.

---

No. 2
First-principles (PBE) data for a relaxed structure of LiZnCuAg, as listed in the Alexandria database.

a = 4.1335 Å, b = 4.1335 Å, c = 6.7873 Å
α = 90.00°, β = 90.00°, γ = 90.00°
Last column: nearest neighbours and their distance in Å.
Space group I-4m2 (No. 119)
One atom of each set of equivalent atoms:
Li1 0.0000 0.0000 0.0000 (multiplicity 2)  4 Zn 2.67, 4 Ag 2.67, 4 Cu 2.92
Zn1 0.0000 0.5000 0.2500 (multiplicity 2)  4 Li 2.67, 4 Cu 2.67, 4 Ag 2.92
Cu1 0.0000 0.0000 0.5000 (multiplicity 2)  4 Zn 2.67, 4 Ag 2.67, 4 Li 2.92
Ag1 0.0000 0.5000 0.7500 (multiplicity 2)  4 Li 2.67, 4 Cu 2.67, 4 Zn 2.92

Properties
Its density of states at the Fermi level is 1.00 states/eV/f.u. The value obtained for the density is 6.981 g/cm³. The formation energy is -0.118 eV per atom. The value obtained for the final energy is -2.65 eV/atom.

---

No. 3
First-principles (PBE) data for a relaxed structure of NdThCuHg, as listed in the Alexandria database.

a = 7.4523 Å, b = 7.4523 Å, c = 7.4523 Å
α = 90.00°, β = 90.00°, γ = 90.00°
Last column: nearest neighbours and their distance in Å.
Space group F-43m (No. 216)
One atom of each set of equivalent atoms:
Nd1 0.0000 0.0000 0.0000 (multiplicity 4)  4 Hg 3.23, 4 Cu 3.23
Th1 0.0000 0.0000 0.5000 (multiplicity 4)  4 Hg 3.23, 4 Cu 3.23
Cu1 0.2500 0.2500 0.2500 (multiplicity 4)  4 Th 3.23, 4 Nd 3.23
Hg1 0.2500 0.2500 0.7500 (multiplicity 4)  4 Th 3.23, 4 Nd 3.23

Properties
Its density of states at the Fermi level is 4.54 states/eV/f.u. The value obtained for the density is 10.278 g/cm³. The formation energy is -0.151 eV per atom. The value obtained for the final energy is -4.30 eV/atom.

---

No. 4
First-principles (PBE) data for a relaxed structure of Cs3Rb3Hg, as listed in the Alexandria database.

a = 15.5925 Å, b = 15.5925 Å, c = 5.8181 Å
α = 90.00°, β = 90.00°, γ = 120.00°
Last column: nearest neighbours and their distance in Å.
Space group P6_3/mmc (No. 194)
One atom of each set of equivalent atoms:
Cs1 0.1650 0.3300 0.2500 (multiplicity 6)  1 Hg 4.55, 4 Rb 4.91
Rb1 0.1369 0.5684 0.7500 (multiplicity 6)  2 Hg 3.94
Hg1 0.3333 0.6667 0.2500 (multiplicity 2)  6 Rb 3.94

Properties
Its density of states at the Fermi level is 8.04 states/eV/f.u. The value obtained for the density is 2.320 g/cm³. The formation energy is -0.050 eV per atom. The value obtained for the final energy is -0.87 eV/atom.

---

No. 5
First-principles (PBE) data for a relaxed structure of HIBr, as listed in the Alexandria database.

a = 4.9589 Å, b = 4.9589 Å, c = 7.5930 Å
α = 90.00°, β = 90.00°, γ = 90.00°
Last column: nearest neighbours and their distance in Å.
Space group I4mm (No. 107)
One atom of each set of equivalent atoms:
H1 0.0000 0.0000 0.0000 (multiplicity 2)  1 Br 1.57
I1 0.0000 0.0000 0.2836 (multiplicity 2)  1 H 2.15
Br1 0.0000 0.0000 0.7935 (multiplicity 2)  1 H 1.57

Properties
Its density of states at the Fermi level is 3.12 states/eV/f.u. The value obtained for the density is 3.696 g/cm³. The value obtained for the final energy is -2.05 eV/atom.

---

No. 6
First-principles (PBE) data for a relaxed structure of Pm4Cd3Ag, as listed in the Alexandria database.

a = 3.8082 Å, b = 3.8082 Å, c = 15.1998 Å
α = 90.00°, β = 90.00°, γ = 90.00°
Last column: nearest neighbours and their distance in Å.
Space group P4/mmm (No. 123)
One atom of each set of equivalent atoms:
Pm1 0.0000 0.0000 0.1201 (multiplicity 2)  4 Ag 3.25, 4 Cd 3.32
Pm2 0.0000 0.0000 0.3732 (multiplicity 2)  8 Cd 3.30-3.31
Cd1 0.5000 0.5000 0.2479 (multiplicity 2)  8 Pm 3.30-3.32
Cd2 0.5000 0.5000 0.5000 (multiplicity 1)  8 Pm 3.31
Ag1 0.5000 0.5000 0.0000 (multiplicity 1)  8 Pm 3.25

Properties
Its density of states at the Fermi level is 9.28 states/eV/f.u. The value obtained for the density is 7.722 g/cm³. The formation energy is -0.305 eV per atom. The value obtained for the final energy is -3.38 eV/atom.

---

No. 7
First-principles (PBE) data for a relaxed structure of Mg2Cu2Sn, as listed in the Alexandria database.

a = 3.3835 Å, b = 3.3835 Å, c = 17.1343 Å
α = 90.00°, β = 90.00°, γ = 90.00°
Last column: nearest neighbours and their distance in Å.
Space group I4/mmm (No. 139)
One atom of each set of equivalent atoms:
Mg1 0.0000 0.0000 0.1238 (multiplicity 4)  4 Cu 2.75
Cu1 0.0000 0.5000 0.2500 (multiplicity 4)  4 Cu 2.39
Sn1 0.0000 0.0000 0.5000 (multiplicity 2)  8 Mg 3.20, 4 Sn 3.38

Properties
Its density of states at the Fermi level is 2.49 states/eV/f.u. The value obtained for the density is 4.985 g/cm³. The formation energy is -0.005 eV per atom. The value obtained for the final energy is -3.08 eV/atom.

---

No. 8
First-principles (PBE) data for a relaxed structure of Co4NiPt2, as listed in the Alexandria database.

a = 7.1472 Å, b = 7.1530 Å, c = 7.4576 Å
α = 90.00°, β = 90.00°, γ = 90.00°
Last column: nearest neighbours and their distance in Å.
Space group Fmmm (No. 69)
One atom of each set of equivalent atoms:
Co1 0.0000 0.2500 0.2500 (multiplicity 8)  4 Co 2.53, 4 Pt 2.58, 2 Ni 2.58
Co2 0.2500 0.0000 0.2500 (multiplicity 8)  4 Co 2.53, 2 Ni 2.58, 4 Pt 2.58
Ni1 0.0000 0.0000 0.0000 (multiplicity 4)  4 Pt 2.53, 8 Co 2.58
Pt1 0.2500 0.2500 0.0000 (multiplicity 8)  2 Ni 2.53, 8 Co 2.58

Properties
Its density of states at the Fermi level is 9.99 states/eV/f.u. The value obtained for the density is 11.927 g/cm³. The formation energy is 0.143 eV per atom. The value obtained for the final energy is -6.47 eV/atom.

---

No. 9
First-principles (PBE) data for a relaxed structure of B2C3, as listed in the Alexandria database.

a = 8.8405 Å, b = 2.5566 Å, c = 6.3558 Å
α = 90.00°, β = 111.40°, γ = 90.00°
Last column: nearest neighbours and their distance in Å.
Space group Cm (No. 8)
One atom of each set of equivalent atoms:
B1 0.0000 0.0000 0.0000 (multiplicity 2)  3 C 1.57
B2 0.0420 0.5000 0.4008 (multiplicity 2)  4 C 1.65-1.70
B3 0.1031 0.0000 0.7874 (multiplicity 2)  2 C 1.57-1.69
B4 0.1796 0.5000 0.9951 (multiplicity 2)  2 C 1.52-1.69
C1 0.0612 0.5000 0.1522 (multiplicity 2)  4 B 1.57-1.69, 1 C 1.72
C2 0.1372 0.0000 0.5616 (multiplicity 2)  3 B 1.57-1.66, 1 C 1.58
C3 0.2704 0.5000 0.2501 (multiplicity 2)  2 C 1.51, 1 B 1.52
C4 0.3261 0.0000 0.6142 (multiplicity 2)  4 C 1.52-1.61
C5 0.3430 0.0000 0.3707 (multiplicity 2)  3 C 1.51-1.61
C6 0.4023 0.5000 0.7383 (multiplicity 2)  2 C 1.52, 2 B 1.57-1.69

Properties
Its density of states at the Fermi level is 0.57 states/eV/f.u. The value obtained for the density is 2.863 g/cm³. The formation energy is 0.336 eV per atom. The value obtained for the final energy is -7.87 eV/atom.

---

No. 10
First-principles (PBE) data for a relaxed structure of Co2Ir3Rh4, as listed in the Alexandria database.

a = 3.8032 Å, b = 5.9679 Å, c = 6.0232 Å
α = 107.86°, β = 108.38°, γ = 90.01°
Last column: nearest neighbours and their distance in Å.
Space group P-1 (No. 2)
One atom of each set of equivalent atoms:
Co1 0.1677 0.0017 0.3345 (multiplicity 2)  5 Ir 2.61-2.70, 5 Rh 2.63-2.68, 2 Co 2.69
Ir1 0.3857 0.3226 0.7713 (multiplicity 2)  3 Co 2.61-2.64, 2 Ir 2.65-2.78, 7 Rh 2.66-2.77
Ir2 0.5000 0.0000 0.0000 (multiplicity 1)  2 Ir 2.65, 6 Rh 2.66, 4 Co 2.69-2.70
Rh1 0.0528 0.3303 0.1060 (multiplicity 2)  2 Co 2.65-2.68, 6 Ir 2.66-2.73, 4 Rh 2.68-2.73
Rh2 0.2763 0.6759 0.5531 (multiplicity 2)  3 Co 2.63, 4 Ir 2.66-2.77, 5 Rh 2.72-2.75

Properties
Its density of states at the Fermi level is 13.30 states/eV/f.u. The value obtained for the density is 14.962 g/cm³. The formation energy is 0.036 eV per atom. The value obtained for the final energy is -7.76 eV/atom.

---

No. 11
First-principles (PBE) data for a relaxed structure of KNbW2Se, as listed in the Alexandria database.

a = 4.7769 Å, b = 4.7769 Å, c = 5.9840 Å
α = 90.00°, β = 90.00°, γ = 90.00°
Last column: nearest neighbours and their distance in Å.
Space group P4/mmm (No. 123)
One atom of each set of equivalent atoms:
K1 0.0000 0.0000 0.0000 (multiplicity 1)  2 Nb 2.99
Nb1 0.0000 0.0000 0.5000 (multiplicity 1)  4 W 2.39
W1 0.0000 0.5000 0.5000 (multiplicity 2)  2 Nb 2.39
Se1 0.5000 0.5000 0.0000 (multiplicity 1)  4 K 3.38

Properties
Its density of states at the Fermi level is 4.34 states/eV/f.u. The value obtained for the density is 7.037 g/cm³. The value obtained for the final energy is -6.08 eV/atom. For the energy relative to the elements, uncorrected, the calculation gives 2.035 eV per atom.

---

No. 12
First-principles (PBE) data for a relaxed structure of Li2CdAg, as listed in the Alexandria database.

a = 3.0396 Å, b = 3.0396 Å, c = 27.2631 Å
α = 90.00°, β = 90.00°, γ = 120.00°
Last column: nearest neighbours and their distance in Å.
Space group R3m (No. 160, hexagonal axes)
One atom of each set of equivalent atoms:
Li1 0.0000 0.0000 0.0000 (multiplicity 3)  3 Ag 2.77, 3 Cd 2.97, 6 Li 3.04
Li2 0.0000 0.0000 0.1761 (multiplicity 3)  3 Ag 2.77, 3 Cd 2.98, 6 Li 3.04
Cd1 0.0000 0.0000 0.7546 (multiplicity 3)  6 Li 2.97-2.98, 6 Cd 3.04
Ag1 0.0000 0.0000 0.5882 (multiplicity 3)  6 Li 2.77, 6 Ag 3.04

Properties
Its density of states at the Fermi level is 1.18 states/eV/f.u. The value obtained for the density is 5.347 g/cm³. The formation energy is -0.144 eV per atom. The value obtained for the final energy is -2.04 eV/atom.

---

No. 13
First-principles (PBE) data for a relaxed structure of SrLiSc2O, as listed in the Alexandria database.

a = 4.4154 Å, b = 4.4154 Å, c = 5.5372 Å
α = 90.00°, β = 90.00°, γ = 90.00°
Last column: nearest neighbours and their distance in Å.
Space group P4/mmm (No. 123)
One atom of each set of equivalent atoms:
Sr1 0.0000 0.0000 0.0000 (multiplicity 1)  2 O 2.77
Li1 0.5000 0.5000 0.0000 (multiplicity 1)  4 Sr 3.12
Sc1 0.0000 0.5000 0.5000 (multiplicity 2)  2 O 2.21
O1 0.0000 0.0000 0.5000 (multiplicity 1)  4 Sc 2.21

Properties
Its density of states at the Fermi level is 5.69 states/eV/f.u. The value obtained for the density is 3.084 g/cm³. The value obtained for the final energy is -5.21 eV/atom. For the energy relative to the elements, uncorrected, the calculation gives -0.968 eV per atom.